*one*
Below is a geometry-optimized NaAl2Bi2 structure, with properties calculated at the PBE level.

The space group is I4/mmm (No. 139) and the conventional cell measures 4.4647, 4.4647 and 15.0387 Å, with angles of 90.00, 90.00 and 90.00 degrees. The asymmetric unit holds Na at (0.0000, 0.0000, 0.0000), Al at (0.0000, 0.5000, 0.2500) and Bi at (0.0000, 0.0000, 0.3746).

As for the total magnetization: 0.0 μB per formula unit.

*two*
Below is a geometry-optimized NaAl2Bi2 structure, with properties calculated at the PBE level.

The space group is P4/mbm (No. 127) and the conventional cell measures 8.3478, 8.3478 and 3.9284 Å, with angles of 90.00, 90.00 and 90.00 degrees. The asymmetric unit holds Na at (0.0000, 0.0000, 0.0000), Al at (0.1277, 0.3723, 0.5000) and Bi at (0.1561, 0.6561, 0.0000).

As for the total magnetization: 0.0 μB per formula unit.

Relative energies, unit meV per atom: *one* 0; *two* 110